# AcCr4Cu3O12 GGA+U relaxed
# Final energy, eV per cell: -275.89
# Calculated density, Mg/m³: 6.45
data_AcCr4Cu3O12
_chemical_formula_sum 'Ac2 Cr8 Cu6 O24'
_cell_length_a 7.493
_cell_length_b 7.493
_cell_length_c 7.493
_cell_angle_alpha 90.00
_cell_angle_beta 90.00
_cell_angle_gamma 90.00
_space_group_name_H-M_alt 'I m -3'
_space_group_IT_number 204
_space_group_name_Hall '-I 2 2 3'
loop_
_atom_site_label
_atom_site_fract_x
_atom_site_fract_y
_atom_site_fract_z
Ac1 0.000 0.000 0.000
Cr1 0.250 0.250 0.250
Cu1 0.000 0.000 0.500
O1 0.000 0.171 0.314